Entry from Alexandria: a PBEsol-optimized structure of ZrCoB2Os (SCAN).

- ΔE_f (kJ/mol of formula units) = 1170
- uncorrected energy (hartree per atom) = -0.9012
- size of the total moment (μB/f.u.) = 2.72
- SG = P4/mmm (123)

Structure (POSCAR):
```
ZrCoB2Os
1.0
4.1337 0.0000 0.0000
0.0000 4.1337 0.0000
0.0000 0.0000 4.2773
Zr Co B Os
1 1 2 1
Direct
0.0000 0.0000 0.0000 Zr
0.0000 0.0000 0.5000 Co
0.0000 0.5000 0.0000 B
0.5000 0.0000 0.0000 B
0.5000 0.5000 0.5000 Os
```

Entry from Alexandria: a PBEsol-optimized structure of PrCo2B2 (SCAN).

- ΔE_f (kJ/mol of formula units) = -216
- uncorrected energy (hartree per atom) = -0.6985
- size of the total moment (μB/f.u.) = 0.00
- SG = I4/mmm (139)

Structure (POSCAR):
```
PrCo2B2
1.0
3.5475 0.0000 0.0000
0.0000 3.5475 0.0000
0.0000 0.0000 9.9339
Pr Co B
2 4 4
Direct
0.0000 0.0000 0.0000 Pr
0.5000 0.5000 0.5000 Pr
0.0000 0.5000 0.2500 Co
0.0000 0.5000 0.7500 Co
0.5000 0.0000 0.2500 Co
0.5000 0.0000 0.7500 Co
0.0000 0.0000 0.3369 B
0.0000 0.0000 0.6631 B
0.5000 0.5000 0.1631 B
0.5000 0.5000 0.8369 B
```

Entry from Alexandria: a PBEsol-optimized structure of Pr3Co11B4 (SCAN).

- ΔE_f (kJ/mol of formula units) = -306
- uncorrected energy (hartree per atom) = -0.7211
- size of the total moment (μB/f.u.) = 8.66
- SG = P6/mmm (191)

Structure (POSCAR):
```
Pr3Co11B4
1.0
5.0696 0.0000 0.0000
-2.5348 4.3904 0.0000
0.0000 0.0000 9.6087
Pr Co B
3 11 4
Direct
0.0000 0.0000 0.0000 Pr
0.0000 0.0000 0.3405 Pr
0.0000 0.0000 0.6595 Pr
0.0000 0.5000 0.2031 Co
0.0000 0.5000 0.5000 Co
0.0000 0.5000 0.7969 Co
0.3333 0.6667 0.0000 Co
0.5000 0.0000 0.2031 Co
0.5000 0.0000 0.5000 Co
0.5000 0.0000 0.7969 Co
0.5000 0.5000 0.2031 Co
0.5000 0.5000 0.5000 Co
0.5000 0.5000 0.7969 Co
0.6667 0.3333 0.0000 Co
0.3333 0.6667 0.3493 B
0.3333 0.6667 0.6507 B
0.6667 0.3333 0.3493 B
0.6667 0.3333 0.6507 B
```

Among the records above, which one has the lowest ΔE_f?
Pr3Co11B4